Er4Pt3Au GGA-PBE relaxed; total moment = 0.0 μB/cell; energy relative to the elements = -1.215 eV per atom; total energy = -6.171 eV/atom
1.0
3.711 0.000 0.000
0.000 4.526 0.000
0.000 0.000 10.551
Pt Er Au
3 4 1
Cartesian
0.000 2.263 6.203
0.000 0.000 4.326
1.856 0.000 9.621
1.856 0.000 6.727
0.000 0.000 1.478
1.856 2.263 3.896
0.000 2.263 9.026
1.856 2.263 0.928


K3Au2Cl8 GGA-PBE relaxed; total moment = 1.8 μB/cell; total energy = -2.762 eV/atom; energy relative to the elements, uncorrected = -0.87 eV/atom
1.0
-2.174 -3.842 5.260
-4.362 -5.186 -1.108
5.243 -8.975 0.093
K Cl Au
3 8 2
Cartesian
-1.985 -12.686 3.360
0.693 -5.317 0.884
0.000 0.000 0.000
0.748 -10.565 3.950
-1.696 -3.397 1.300
-0.421 -11.282 0.549
0.404 -14.606 2.944
-3.201 -9.490 3.103
-0.872 -6.721 3.695
-2.040 -7.438 0.294
1.909 -8.513 1.141
1.705 -10.891 1.713
-2.997 -7.112 2.531


ErAlAgPd GGA-PBE relaxed; total moment = 0.0 μB/cell; energy relative to the elements = -0.576 eV per atom; total energy = -4.664 eV/atom
1.0
4.737 0.000 0.000
2.368 4.102 0.000
2.368 1.367 3.867
Pd Al Er Ag
1 1 1 1
Cartesian
7.105 4.102 2.901
4.737 2.735 1.934
0.000 0.000 0.000
2.368 1.367 0.967


BaInBi2 GGA-PBE relaxed; total moment = 0.0 μB/cell; energy relative to the elements = -0.431 eV per atom; total energy = -3.537 eV/atom
1.0
-2.091 -3.785 2.654
3.626 0.464 3.518
-6.338 7.398 5.557
Bi Ba In
4 2 2
Cartesian
-2.401 2.039 5.865
-2.099 -0.662 2.251
-3.471 6.400 6.392
-3.169 3.699 2.779
0.124 2.204 3.240
-5.694 3.534 5.403
0.000 0.000 0.000
0.768 -1.661 3.086


BaAc2 GGA-PBE relaxed; total moment = 0.0 μB/cell; energy relative to the lowest polymorph listed for this composition = 6 meV per atom; energy relative to the elements = 0.056 eV per atom; total energy = -3.324 eV/atom
1.0
4.075 0.000 0.000
-2.037 6.433 -2.101
0.000 -1.464 11.782
Ac Ba
4 2
Cartesian
0.000 4.301 1.357
0.000 -0.471 6.323
0.000 3.607 6.736
2.037 1.947 3.871
0.000 0.250 0.634
2.037 1.226 9.560


Be2AlFe GGA-PBE relaxed; total moment = 0.0 μB/cell; energy relative to the elements = -0.189 eV per atom; total energy = -5.103 eV/atom
1.0
-0.258 4.402 0.279
-2.886 3.245 0.814
0.115 1.333 3.438
Be Fe Al
2 1 1
Cartesian
-1.474 4.412 2.296
0.074 1.410 3.408
-2.272 6.735 3.399
-0.757 2.245 1.133


ZrPaVOs GGA-PBE relaxed; total moment = 0.0 μB/cell; energy relative to the elements = -0.101 eV per atom; total energy = -9.699 eV/atom
1.0
-0.701 -2.427 -4.017
-1.498 -4.499 0.177
-4.409 -1.089 -1.376
V Zr Pa Os
1 1 1 1
Cartesian
0.000 0.000 0.000
-4.956 -6.011 -3.912
-1.652 -2.004 -1.304
-3.304 -4.007 -2.608


Zn2CrRe GGA-PBE relaxed; total moment = 1.3 μB/cell; energy relative to the lowest polymorph listed for this composition = 157 meV per atom; energy relative to the elements = 0.268 eV per atom; total energy = -5.887 eV/atom
1.0
-3.225 -0.426 2.625
-1.987 -1.439 -2.675
1.176 -3.312 0.907
Cr Re Zn
1 1 2
Cartesian
-2.606 -0.932 -0.025
-1.024 -1.869 1.766
-0.406 -2.375 -0.884
0.000 0.000 0.000